Compound: FeAsH2N
Source: Alexandria
Functional: GGA-PBE
Structure: relaxed

Calculated values
Its total magnetization is 3.49 μB/f.u. For the total energy, the calculation gives -23.804 eV for the cell shown. The mass density is 4956 kg/m3.

a = 3.296 Å, b = 3.296 Å, c = 4.528 Å
α = 90.00°, β = 90.00°, γ = 90.00°
Space group P4/mmm (No. 123)
Symmetry-distinct sites (fractional):
Fe 0.000 0.000 0.000 x1
As 0.500 0.500 0.500 x1
H 0.000 0.500 0.500 x2
N 0.500 0.500 0.000 x1